A relaxed structure of CrHF2. Source: the Alexandria database, functional PBE with a Hubbard U.

Cell lengths 6.024, 6.024, 6.024 Å; angles 27.69, 27.69, 27.69 degrees
Fractional coordinates of all 4 atoms:
Cr 0.000 0.000 0.000
H 0.500 0.500 0.500
F 0.887 0.887 0.887
F 0.113 0.113 0.113

The relative energy among the computed polymorphs comes out at 692 meV/atom. The calculation puts the density of states at the Fermi level at 0.145 states/eV per atom. Its uncorrected energy is -17.5 eV/cell.